No. 1
5
Lattice="5.2152 0.0000 0.0000 0.0000 5.2152 0.0000 0.0000 0.0000 5.2152" Properties=species:S:1:pos:R:3 comment="TaRuPb3 GGA-PBE optimized geometry" mass_density_g_cm3=10.6 de_polymorph_ev_per_fu=0.00 ef_ev_per_atom=1.2254 pbc="T T T"
Ta 0.0000 0.0000 0.0000
Ru 2.6076 2.6076 2.6076
Pb 0.0000 2.6076 2.6076
Pb 2.6076 0.0000 2.6076
Pb 2.6076 2.6076 0.0000

***

No. 2
4
Lattice="2.8709 -4.2022 0.0000 2.8709 4.2022 0.0000 0.0000 0.0000 3.0320" Properties=species:S:1:pos:R:3 comment="Ta2RuPb GGA-PBE optimized geometry" mass_density_g_cm3=15.2 ef_ev_per_atom=0.3550 pbc="T T T"
Ta 1.4355 2.1011 0.0000
Ta 1.4355 -2.1011 0.0000
Ru 0.0000 0.0000 1.5160
Pb 2.8709 0.0000 1.5160